Entry 1:
The following is a GGA-PBE calculation of an optimized crystal structure of SrMg2BIr2, from the Alexandria database.

calculated formation energy = -0.37 eV per atom

The structure in CIF format:
```
data_SrMg2BIr2
_cell_length_a 4.2440
_cell_length_b 4.2440
_cell_length_c 6.3248
_cell_angle_alpha 90.00
_cell_angle_beta 90.00
_cell_angle_gamma 90.00
_space_group_name_H-M_alt 'P 4/m m m'
_space_group_IT_number 123
_space_group_name_Hall '-P 4 2'
loop_
_atom_site_label
_atom_site_fract_x
_atom_site_fract_y
_atom_site_fract_z
Sr1 0.0000 0.0000 0.0000
Mg1 0.5000 0.5000 0.2463
B1 0.0000 0.0000 0.5000
Ir1 0.0000 0.5000 0.5000
```

=====

Entry 2:
The following is a GGA-PBE calculation of an optimized crystal structure of HfTaPd2, from the Alexandria database.

calculated formation energy = -0.01 eV per atom
relative energy among the computed polymorphs = 28.1 kJ per mole of atoms

The structure in CIF format:
```
data_HfTaPd2
_cell_length_a 7.2873
_cell_length_b 7.2873
_cell_length_c 5.6030
_cell_angle_alpha 90.00
_cell_angle_beta 90.00
_cell_angle_gamma 90.00
_space_group_name_H-M_alt 'I -4 2 d'
_space_group_IT_number 122
_space_group_name_Hall 'I -4 2bw'
loop_
_atom_site_label
_atom_site_fract_x
_atom_site_fract_y
_atom_site_fract_z
Hf1 0.0000 0.0000 0.0000
Ta1 0.0000 0.0000 0.5000
Pd1 0.2393 0.2500 0.6250
```

=====

Entry 3:
The following is a GGA-PBE calculation of an optimized crystal structure of Tc2IrPd, from the Alexandria database.

calculated formation energy = 1.19 eV per atom
relative energy among the computed polymorphs = 71.4 kJ per mole of atoms

The structure in CIF format:
```
data_Tc2IrPd
_cell_length_a 5.7656
_cell_length_b 5.7656
_cell_length_c 10.4274
_cell_angle_alpha 90.00
_cell_angle_beta 90.00
_cell_angle_gamma 90.00
_space_group_name_H-M_alt 'I -4 2 d'
_space_group_IT_number 122
_space_group_name_Hall 'I -4 2bw'
loop_
_atom_site_label
_atom_site_fract_x
_atom_site_fract_y
_atom_site_fract_z
Tc1 0.2389 0.2500 0.1250
Ir1 0.0000 0.0000 0.0000
Pd1 0.0000 0.0000 0.5000
```

=====

Entry 4:
The following is a GGA-PBE calculation of an optimized crystal structure of PrPu2Zn2Ge2, from the Alexandria database.

calculated formation energy = -0.22 eV per atom

The structure in CIF format:
```
data_PrPu2Zn2Ge2
_cell_length_a 4.0960
_cell_length_b 4.0960
_cell_length_c 27.9443
_cell_angle_alpha 90.00
_cell_angle_beta 90.00
_cell_angle_gamma 120.00
_space_group_name_H-M_alt 'R -3 m'
_space_group_IT_number 166
_space_group_name_Hall '-R 3 2"'
loop_
_atom_site_label
_atom_site_fract_x
_atom_site_fract_y
_atom_site_fract_z
Pr1 0.0000 0.0000 0.0000
Pu1 0.0000 0.0000 0.1527
Zn1 0.0000 0.0000 0.4169
Ge1 0.0000 0.0000 0.2600
```

=====

Entry 5:
The following is a GGA-PBE calculation of an optimized crystal structure of RbTlCl2, from the Alexandria database.

formation energy (no corrections) = -1.455 eV per atom
relative energy among the computed polymorphs = 2.3 kJ per mole of atoms

The structure in CIF format:
```
data_RbTlCl2
_cell_length_a 4.5545
_cell_length_b 4.5545
_cell_length_c 23.9676
_cell_angle_alpha 90.00
_cell_angle_beta 90.00
_cell_angle_gamma 120.00
_space_group_name_H-M_alt 'R 3 m'
_space_group_IT_number 160
_space_group_name_Hall 'R 3 -2"'
loop_
_atom_site_label
_atom_site_fract_x
_atom_site_fract_y
_atom_site_fract_z
Rb1 0.0000 0.0000 0.0000
Tl1 0.0000 0.0000 0.8316
Cl1 0.0000 0.0000 0.4165
Cl2 0.0000 0.0000 0.5821
```

=====

Entry 6:
The following is a GGA-PBE calculation of an optimized crystal structure of NbReSi2, from the Alexandria database.

formation energy (no corrections) = 0.287 eV per atom

The structure in CIF format:
```
data_NbReSi2
_cell_length_a 2.8133
_cell_length_b 2.8133
_cell_length_c 28.1660
_cell_angle_alpha 90.00
_cell_angle_beta 90.00
_cell_angle_gamma 120.00
_space_group_name_H-M_alt 'R -3 m'
_space_group_IT_number 166
_space_group_name_Hall '-R 3 2"'
loop_
_atom_site_label
_atom_site_fract_x
_atom_site_fract_y
_atom_site_fract_z
Nb1 0.0000 0.0000 0.0000
Re1 0.0000 0.0000 0.5000
Si1 0.0000 0.0000 0.4106
```